[1]
# ZrScMo2, relaxed, DFT PBEsol
# Polymorph energy (0 for the lowest one)   0.1426 eV/atom
# DOS(E_F)   1.114 states/eV per atom
# Calculated total energy   -37.97 eV/cell
data_ZrScMo2
_chemical_formula_sum 'Zr1 Sc1 Mo2'
_cell_length_a 3.8970
_cell_length_b 3.8970
_cell_length_c 4.7108
_cell_angle_alpha 90.00
_cell_angle_beta 90.00
_cell_angle_gamma 90.00
_symmetry_space_group_name_H-M 'P 4/m m m'
_symmetry_Int_Tables_number 123
_symmetry_space_group_name_Hall '-P 4 2'
loop_
_atom_site_label
_atom_site_fract_x
_atom_site_fract_y
_atom_site_fract_z
Zr1 0.0000 0.0000 0.0000
Sc1 0.5000 0.5000 0.0000
Mo1 0.0000 0.5000 0.5000



[2]
# ZrScMo2, relaxed, DFT PBEsol
# Polymorph energy (0 for the lowest one)   0.0000 eV/atom
# DOS(E_F)   1.143 states/eV per atom
# Calculated total energy   -38.54 eV/cell
data_ZrScMo2
_chemical_formula_sum 'Zr1 Sc1 Mo2'
_cell_length_a 2.8485
_cell_length_b 4.5356
_cell_length_c 5.5100
_cell_angle_alpha 90.00
_cell_angle_beta 98.52
_cell_angle_gamma 90.00
_symmetry_space_group_name_H-M 'P 1 2/m 1'
_symmetry_Int_Tables_number 10
_symmetry_space_group_name_Hall '-P 2y'
loop_
_atom_site_label
_atom_site_fract_x
_atom_site_fract_y
_atom_site_fract_z
Zr1 0.0000 0.0000 0.0000
Sc1 0.5000 0.0000 0.5000
Mo1 0.2311 0.5000 0.7489



[3]
# Mo5Se, relaxed, DFT PBEsol
# DOS(E_F)   0.640 states/eV per atom
# Calculated total energy   -123.66 eV/cell
data_Mo5Se
_chemical_formula_sum 'Mo10 Se2'
_cell_length_a 4.3911
_cell_length_b 9.4405
_cell_length_c 4.3833
_cell_angle_alpha 90.00
_cell_angle_beta 90.00
_cell_angle_gamma 90.00
_symmetry_space_group_name_H-M 'C m m m'
_symmetry_Int_Tables_number 65
_symmetry_space_group_name_Hall '-C 2 2'
loop_
_atom_site_label
_atom_site_fract_x
_atom_site_fract_y
_atom_site_fract_z
Mo1 0.0000 0.0000 0.0000
Mo2 0.0000 0.1632 0.5000
Mo3 0.0000 0.3311 0.0000
Se1 0.0000 0.5000 0.5000



[4]
# Mo3Se4, relaxed, DFT PBEsol
# Polymorph energy (0 for the lowest one)   0.0000 eV/atom
# DOS(E_F)   0.901 states/eV per atom
# Calculated total energy   -327.20 eV/cell
data_Mo3Se4
_chemical_formula_sum 'Mo18 Se24'
_cell_length_a 9.4501
_cell_length_b 9.4501
_cell_length_c 11.1723
_cell_angle_alpha 90.00
_cell_angle_beta 90.00
_cell_angle_gamma 120.00
_symmetry_space_group_name_H-M 'R -3'
_symmetry_Int_Tables_number 148
_symmetry_space_group_name_Hall '-R 3'
loop_
_atom_site_label
_atom_site_fract_x
_atom_site_fract_y
_atom_site_fract_z
Mo1 0.0196 0.8476 0.3942
Se1 0.0000 0.0000 0.2145
Se2 0.0035 0.6285 0.2480



> What is the DOS(E_F) in the third record?

0.640 states/eV per atom